# 1
# Rb2DyCl5

A relaxed Rb2DyCl5 crystal (PBE, Alexandria via LeMat-Bulk).

Geometry as CIF:
```
data_Rb2DyCl5
_space_group_name_H-M_alt 'P n m a'
_space_group_IT_number 62
_cell_length_a 13.3546
_cell_length_b 8.7891
_cell_length_c 8.3526
_cell_angle_alpha 90.00
_cell_angle_beta 90.00
_cell_angle_gamma 90.00
loop_
_space_group_symop_operation_xyz
'x,y,z'
'-x,-y,-z'
'-x+1/2,-y,z+1/2'
'x+1/2,y,-z+1/2'
'x+1/2,-y+1/2,-z+1/2'
'-x+1/2,y+1/2,z+1/2'
'-x,y+1/2,-z'
'x,-y+1/2,z'
loop_
_atom_site_label
_atom_site_type_symbol
_atom_site_fract_x
_atom_site_fract_y
_atom_site_fract_z
Rb1 Rb 0.1699 0.0072 0.0675
Dy1 Dy 0.0046 0.2500 0.5687
Cl1 Cl 0.0152 0.2500 0.8930
Cl2 Cl 0.0630 0.5447 0.6607
Cl3 Cl 0.1755 0.2500 0.4017
Cl4 Cl 0.1902 0.7500 0.3578
```

Calculated values
For the theoretical density, the calculation gives 3460 kg/m3. The calculation puts the uncorrected formation energy at -49.94 kcal/mol of atoms. The energy above the most stable polymorph in this dataset comes out at 0 meV/atom.

---

# 2
# Rb3Dy2Cl9

A relaxed Rb3Dy2Cl9 crystal (PBE, Alexandria via LeMat-Bulk).

Geometry as CIF:
```
data_Rb3Dy2Cl9
_space_group_name_H-M_alt 'R -3 c'
_space_group_IT_number 167
_space_group_name_Hall '-R 3 2"c'
_cell_length_a 13.0843
_cell_length_b 13.0843
_cell_length_c 18.5161
_cell_angle_alpha 90.00
_cell_angle_beta 90.00
_cell_angle_gamma 120.00
loop_
_atom_site_label
_atom_site_type_symbol
_atom_site_fract_x
_atom_site_fract_y
_atom_site_fract_z
Rb1 Rb 0.0000 0.3327 0.2500
Dy1 Dy 0.0000 0.0000 0.1482
Cl1 Cl 0.0000 0.1533 0.7500
Cl2 Cl 0.0112 0.1814 0.4121
```

Calculated values
For the theoretical density, the calculation gives 3268 kg/m3. The calculation puts the uncorrected formation energy at -50.15 kcal/mol of atoms.

---

# 3
# Rb2DyCl5

A relaxed Rb2DyCl5 crystal (PBE, Alexandria via LeMat-Bulk).

Geometry as CIF:
```
data_Rb2DyCl5
_space_group_name_H-M_alt 'C 1 m 1'
_space_group_IT_number 8
_cell_length_a 12.3368
_cell_length_b 8.0428
_cell_length_c 8.0394
_cell_angle_alpha 90.00
_cell_angle_beta 130.54
_cell_angle_gamma 90.00
loop_
_space_group_symop_operation_xyz
'x,y,z'
'x,-y,z'
'x+1/2,y+1/2,z'
'x+1/2,-y+1/2,z'
loop_
_atom_site_label
_atom_site_type_symbol
_atom_site_fract_x
_atom_site_fract_y
_atom_site_fract_z
Rb1 Rb 0.0000 0.0000 0.0000
Rb2 Rb 0.0000 0.5000 0.4987
Dy1 Dy 0.2684 0.0000 0.7683
Cl1 Cl 0.0313 0.5000 0.0328
Cl2 Cl 0.2145 0.2252 0.9391
Cl3 Cl 0.2162 0.2249 0.4907
```

Calculated values
For the theoretical density, the calculation gives 2798 kg/m3. The calculation puts the uncorrected formation energy at -48.08 kcal/mol of atoms. The energy above the most stable polymorph in this dataset comes out at 80 meV/atom.

---

# 4
# RbDy2Cl7

A relaxed RbDy2Cl7 crystal (PBE, Alexandria via LeMat-Bulk).

Geometry as CIF:
```
data_RbDy2Cl7
_space_group_name_H-M_alt 'C m m m'
_space_group_IT_number 65
_space_group_name_Hall '-C 2 2'
_cell_length_a 8.4947
_cell_length_b 13.7342
_cell_length_c 5.3026
_cell_angle_alpha 90.00
_cell_angle_beta 90.00
_cell_angle_gamma 90.00
loop_
_atom_site_label
_atom_site_type_symbol
_atom_site_fract_x
_atom_site_fract_y
_atom_site_fract_z
Rb1 Rb 0.0000 0.0000 0.0000
Dy1 Dy 0.0000 0.3035 0.5000
Cl1 Cl 0.0000 0.2956 0.0000
Cl2 Cl 0.0000 0.5000 0.5000
Cl3 Cl 0.1881 0.1405 0.5000
```

Calculated values
For the theoretical density, the calculation gives 3536 kg/m3. The calculation puts the uncorrected formation energy at -51.26 kcal/mol of atoms. The energy above the most stable polymorph in this dataset comes out at 37 meV/atom.

---

# 5
# RbDyScCl6

A relaxed RbDyScCl6 crystal (PBE, Alexandria via LeMat-Bulk).

Geometry as CIF:
```
data_RbDyScCl6
_space_group_name_H-M_alt 'P -3 1 c'
_space_group_IT_number 163
_space_group_name_Hall '-P 3 2c'
_cell_length_a 6.7886
_cell_length_b 6.7886
_cell_length_c 14.9894
_cell_angle_alpha 90.00
_cell_angle_beta 90.00
_cell_angle_gamma 120.00
loop_
_atom_site_label
_atom_site_type_symbol
_atom_site_fract_x
_atom_site_fract_y
_atom_site_fract_z
Rb1 Rb 0.0000 0.0000 0.0000
Dy1 Dy 0.3333 0.6667 0.2500
Sc1 Sc 0.3333 0.6667 0.7500
Cl1 Cl 0.0075 0.3725 0.6485
```

Calculated values
For the theoretical density, the calculation gives 2807 kg/m3. The calculation puts the uncorrected formation energy at -47.93 kcal/mol of atoms.

---

# 6
# RbDySn2Cl8

A relaxed RbDySn2Cl8 crystal (PBE, Alexandria via LeMat-Bulk).

Geometry as CIF:
```
data_RbDySn2Cl8
_space_group_name_H-M_alt 'P -1'
_space_group_IT_number 2
_cell_length_a 6.4864
_cell_length_b 6.9308
_cell_length_c 9.1462
_cell_angle_alpha 85.90
_cell_angle_beta 88.17
_cell_angle_gamma 87.45
loop_
_space_group_symop_operation_xyz
'x,y,z'
'-x,-y,-z'
loop_
_atom_site_label
_atom_site_type_symbol
_atom_site_fract_x
_atom_site_fract_y
_atom_site_fract_z
Rb1 Rb 0.0000 0.0000 0.0000
Dy1 Dy 0.0000 0.0000 0.5000
Sn1 Sn 0.4883 0.4810 0.2529
Cl1 Cl 0.2183 0.8229 0.2967
Cl2 Cl 0.2346 0.3116 0.4606
Cl3 Cl 0.2538 0.8626 0.7098
Cl4 Cl 0.2775 0.3732 0.0449
```

Calculated values
For the theoretical density, the calculation gives 3118 kg/m3. The calculation puts the uncorrected formation energy at -36.57 kcal/mol of atoms.

---

# 7
# Rb2DyTlCl6

A relaxed Rb2DyTlCl6 crystal (PBE, Alexandria via LeMat-Bulk).

Geometry as CIF:
```
data_Rb2DyTlCl6
_space_group_name_H-M_alt 'P 1 21/c 1'
_space_group_IT_number 14
_cell_length_a 7.7251
_cell_length_b 8.1575
_cell_length_c 13.4578
_cell_angle_alpha 90.00
_cell_angle_beta 124.54
_cell_angle_gamma 90.00
loop_
_space_group_symop_operation_xyz
'x,y,z'
'-x,-y,-z'
'-x,y+1/2,-z+1/2'
'x,-y+1/2,z+1/2'
loop_
_atom_site_label
_atom_site_type_symbol
_atom_site_fract_x
_atom_site_fract_y
_atom_site_fract_z
Rb1 Rb 0.2233 0.0699 0.2479
Dy1 Dy 0.5000 0.0000 0.0000
Tl1 Tl 0.0000 0.0000 0.5000
Cl1 Cl 0.1706 0.1774 0.9484
Cl2 Cl 0.2672 0.7291 0.9356
Cl3 Cl 0.3874 0.0425 0.7752
```

Calculated values
For the theoretical density, the calculation gives 3568 kg/m3. The calculation puts the uncorrected formation energy at -45.03 kcal/mol of atoms.

---

# 8
# RbDyTl2Cl6

A relaxed RbDyTl2Cl6 crystal (PBE, Alexandria via LeMat-Bulk).

Geometry as CIF:
```
data_RbDyTl2Cl6
_space_group_name_H-M_alt 'R 3'
_space_group_IT_number 146
_space_group_name_Hall 'R 3'
_cell_length_a 7.8832
_cell_length_b 7.8832
_cell_length_c 20.1649
_cell_angle_alpha 90.00
_cell_angle_beta 90.00
_cell_angle_gamma 120.00
loop_
_atom_site_label
_atom_site_type_symbol
_atom_site_fract_x
_atom_site_fract_y
_atom_site_fract_z
Rb1 Rb 0.0000 0.0000 0.0000
Dy1 Dy 0.0000 0.0000 0.4906
Tl1 Tl 0.0000 0.0000 0.2831
Tl2 Tl 0.0000 0.0000 0.7911
Cl1 Cl 0.0283 0.4077 0.2269
Cl2 Cl 0.0764 0.6808 0.0737
```

Calculated values
For the theoretical density, the calculation gives 3991 kg/m3. The calculation puts the uncorrected formation energy at -40.30 kcal/mol of atoms.

---

# 9
# RbDyZnCl6

A relaxed RbDyZnCl6 crystal (PBE, Alexandria via LeMat-Bulk).

Geometry as CIF:
```
data_RbDyZnCl6
_space_group_name_H-M_alt 'P -3 1 c'
_space_group_IT_number 163
_space_group_name_Hall '-P 3 2c'
_cell_length_a 6.7425
_cell_length_b 6.7425
_cell_length_c 14.6584
_cell_angle_alpha 90.00
_cell_angle_beta 90.00
_cell_angle_gamma 120.00
loop_
_atom_site_label
_atom_site_type_symbol
_atom_site_fract_x
_atom_site_fract_y
_atom_site_fract_z
Rb1 Rb 0.0000 0.0000 0.0000
Dy1 Dy 0.3333 0.6667 0.2500
Zn1 Zn 0.3333 0.6667 0.7500
Cl1 Cl 0.0167 0.3848 0.6494
```

Calculated values
For the theoretical density, the calculation gives 3027 kg/m3. The calculation puts the uncorrected formation energy at -42.31 kcal/mol of atoms.

---

# 10
# Dy2RhCl

A relaxed Dy2RhCl crystal (PBE, Alexandria via LeMat-Bulk).

Geometry as CIF:
```
data_Dy2RhCl
_space_group_name_H-M_alt 'R 3 m'
_space_group_IT_number 160
_space_group_name_Hall 'R 3 -2"'
_cell_length_a 3.9474
_cell_length_b 3.9474
_cell_length_c 22.6455
_cell_angle_alpha 90.00
_cell_angle_beta 90.00
_cell_angle_gamma 120.00
loop_
_atom_site_label
_atom_site_type_symbol
_atom_site_fract_x
_atom_site_fract_y
_atom_site_fract_z
Dy1 Dy 0.0000 0.0000 0.0000
Dy2 Dy 0.0000 0.0000 0.2013
Rh1 Rh 0.0000 0.0000 0.5998
Cl1 Cl 0.0000 0.0000 0.4267
```

Calculated values
For the theoretical density, the calculation gives 7554 kg/m3. The calculation puts the uncorrected formation energy at -26.88 kcal/mol of atoms. The energy above the most stable polymorph in this dataset comes out at 26 meV/atom.